Material: BaZnCdGe2
Method: DFT, GGA-PBE
State: optimized geometry

Cell lengths 6.5457, 6.5457, 6.5457 Å; angles 139.13, 139.13, 59.18 degrees
Closest atoms and distances in Å follow each position.
Positions (direct):
Ge (0.6153, 0.6153, 0.0000)  1 Ge 2.62, 2 Cd 2.75, 2 Zn 2.75
Ge (0.3847, 0.3847, 0.0000)  1 Ge 2.62, 2 Zn 2.75, 2 Cd 2.75
Cd (0.7500, 0.2500, 0.5000)  4 Ge 2.75
Zn (0.2500, 0.7500, 0.5000)  4 Ge 2.75
Ba (0.0000, 0.0000, 0.0000)  8 Ge 3.49, 4 Zn 3.65, 4 Cd 3.65

Results
Symmetry: No. 119
Crystal system: tetragonal
Raw total energy: -3.008 eV per atom